This record from Alexandria describes a relaxed structure of BaTlVO4. The functional is GGA+U.

a = 8.012 Å, b = 6.027 Å, c = 10.619 Å
α = 90.00°, β = 90.00°, γ = 90.00°
Space group Pnma (No. 62)
One atom of each set of equivalent atoms:
Ba1 0.003 0.250 0.204 [4 per cell]
Tl1 0.175 0.750 0.430 [4 per cell]
V1 0.221 0.750 0.079 [4 per cell]
O1 0.004 0.750 0.070 [4 per cell]
O2 0.205 0.250 0.424 [4 per cell]
O3 0.214 0.008 0.656 [8 per cell]

Values from the calculation:
VASP energy: -6.629 eV per atom
Excess energy over the best structure of this formula in the dataset: 0.000 eV/atom